1.
DFT (GGA-PBE) results for crystalline Ca2ReOs at its relaxed geometry.

Calculated values
- ρ (Mg/m³) = 8.1
- E_form (meV/atom) = 419
- space group = Imm2, No. 44
- size of the total moment (Bohr magnetons per cell) = 0.00
- offset from the most stable computed form (meV/atom) = 271
- final energy (eV per atom) = -6.50

Cell: 5.689 5.689 5.689 Å, 139.83 127.07 68.47°
Positions (direct):
Ca1 0.012 0.012 0.000
Os1 0.449 0.449 0.000
Ca2 0.733 0.233 0.500
Re1 0.306 0.806 0.500

---

2.
DFT (GGA-PBE) results for crystalline CaReOs2 at its relaxed geometry.

Calculated values
- ρ (Mg/m³) = 14.8
- E_form (meV/atom) = 608
- space group = Immm, No. 71
- size of the total moment (Bohr magnetons per cell) = 0.00
- offset from the most stable computed form (meV/atom) = 225
- final energy (eV per atom) = -8.62

Cell: 5.709 5.709 5.709 Å, 151.25 129.91 58.78°
Positions (direct):
Ca1 0.250 0.750 0.500
Os1 0.969 0.969 0.000
Re1 0.750 0.250 0.500
Os2 0.531 0.531 0.000

---

3.
DFT (GGA-PBE) results for crystalline CaReOs2 at its relaxed geometry.

Calculated values
- ρ (Mg/m³) = 14.9
- E_form (meV/atom) = 481
- space group = P4mm, No. 99
- size of the total moment (Bohr magnetons per cell) = 0.00
- offset from the most stable computed form (meV/atom) = 99
- final energy (eV per atom) = -8.75

Cell: 2.771 2.771 8.814 Å, 90.00 90.00 90.00°
Positions (direct):
Ca1 0.500 0.500 0.759
Re1 0.000 0.000 0.467
Os1 0.000 0.000 0.038
Os2 0.500 0.500 0.236

---

4.
DFT (GGA-PBE) results for crystalline CaRe2Os at its relaxed geometry.

Calculated values
- ρ (Mg/m³) = 14.9
- E_form (meV/atom) = 581
- space group = R-3m, No. 166
- size of the total moment (Bohr magnetons per cell) = 0.00
- offset from the most stable computed form (meV/atom) = 139
- final energy (eV per atom) = -8.95

Cell: 9.746 9.746 9.746 Å, 16.76 16.76 16.76°
Positions (direct):
Os1 0.750 0.750 0.750
Re1 0.009 0.009 0.009
Re2 0.491 0.491 0.491
Ca1 0.250 0.250 0.250

---

5.
DFT (GGA-PBE) results for crystalline CaRe2Os at its relaxed geometry.

Calculated values
- ρ (Mg/m³) = 15.2
- E_form (meV/atom) = 853
- space group = P4/mmm, No. 123
- size of the total moment (Bohr magnetons per cell) = 0.00
- offset from the most stable computed form (meV/atom) = 411
- final energy (eV per atom) = -8.68

Cell: 4.777 4.777 2.883 Å, 90.00 90.00 90.00°
Positions (direct):
Re1 0.000 0.000 0.000
Os1 0.000 0.500 0.500
Ca1 0.500 0.000 0.500
Re2 0.500 0.500 0.000

---

6.
DFT (GGA-PBE) results for crystalline CaReOs2 at its relaxed geometry.

Calculated values
- ρ (Mg/m³) = 14.1
- E_form (meV/atom) = 464
- space group = Pmmm, No. 47
- size of the total moment (Bohr magnetons per cell) = 0.00
- offset from the most stable computed form (meV/atom) = 82
- final energy (eV per atom) = -8.76

Cell: 2.845 3.627 6.928 Å, 90.00 90.00 90.00°
Positions (direct):
Ca1 0.500 0.500 0.750
Os1 0.000 0.000 0.057
Re1 0.500 0.500 0.250
Os2 0.000 0.000 0.443

---

7.
DFT (GGA-PBE) results for crystalline CaReOsRh2 at its relaxed geometry.

Calculated values
- ρ (Mg/m³) = 9.1
- E_form (meV/atom) = 1747
- space group = P4/mmm, No. 123
- size of the total moment (Bohr magnetons per cell) = 4.07
- final energy (eV per atom) = -6.33

Cell: 4.707 5.137 4.707 Å, 90.00 90.00 90.00°
Each line ends with the local moment (μB).
Positions (direct):
Re1 0.500 0.500 0.500  3.24
Os1 0.000 0.000 0.000  0.11
Rh1 0.500 0.000 0.000  0.16
Rh2 0.000 0.000 0.500  0.00
Ca1 0.000 0.500 0.000  0.01

---

8.
DFT (GGA-PBE) results for crystalline Ca2ReOsRu at its relaxed geometry.

Calculated values
- ρ (Mg/m³) = 7.7
- E_form (meV/atom) = 1604
- space group = P4/mmm, No. 123
- size of the total moment (Bohr magnetons per cell) = 2.52
- final energy (eV per atom) = -5.79

Cell: 5.101 4.637 5.101 Å, 90.00 90.00 90.00°
Each line ends with the local moment (μB).
Positions (direct):
Os1 0.500 0.500 0.500  1.61
Re1 0.000 0.500 0.000  0.63
Ca1 0.000 0.000 0.500  -0.01
Ca2 0.500 0.000 0.000  -0.01
Ru1 0.000 0.000 0.000  0.07

---

9.
DFT (GGA-PBE) results for crystalline CaReOs2Ru at its relaxed geometry.

Calculated values
- ρ (Mg/m³) = 11.1
- E_form (meV/atom) = 1619
- space group = P4/mmm, No. 123
- size of the total moment (Bohr magnetons per cell) = 0.46
- final energy (eV per atom) = -7.62

Cell: 4.740 4.704 4.740 Å, 90.00 90.00 90.00°
Each line ends with the local moment (μB).
Positions (direct):
Re1 0.000 0.500 0.000  0.33
Os1 0.500 0.000 0.000  0.06
Ca1 0.500 0.500 0.500  0.00
Os2 0.000 0.000 0.500  0.03
Ru1 0.000 0.000 0.000  -0.01

---

10.
DFT (GGA-PBE) results for crystalline SrCa2ReOs at its relaxed geometry.

Calculated values
- ρ (Mg/m³) = 6.1
- E_form (meV/atom) = 611
- space group = P4/mmm, No. 123
- size of the total moment (Bohr magnetons per cell) = 1.03
- final energy (eV per atom) = -5.26

Cell: 5.527 4.829 5.527 Å, 90.00 90.00 90.00°
Each line ends with the local moment (μB).
Positions (direct):
Re1 0.000 0.500 0.000  0.85
Os1 0.000 0.000 0.000  0.08
Ca1 0.000 0.000 0.500  -0.01
Ca2 0.500 0.000 0.000  0.00
Sr1 0.500 0.500 0.500  -0.01

---

11.
DFT (GGA-PBE) results for crystalline CaTaRe2Os at its relaxed geometry.

Calculated values
- ρ (Mg/m³) = 14.0
- E_form (meV/atom) = 2836
- space group = P4/mmm, No. 123
- size of the total moment (Bohr magnetons per cell) = 0.00
- final energy (eV per atom) = -7.16

Cell: 4.517 4.549 4.517 Å, 90.00 90.00 90.00°
Positions (direct):
Ca1 0.000 0.000 0.000
Re1 0.000 0.000 0.500
Os1 0.000 0.500 0.000
Ta1 0.500 0.500 0.500
Re2 0.500 0.000 0.000

---

12.
DFT (GGA-PBE) results for crystalline CaRe2TcOs at its relaxed geometry.

Calculated values
- ρ (Mg/m³) = 10.9
- E_form (meV/atom) = 1542
- space group = P4/mmm, No. 123
- size of the total moment (Bohr magnetons per cell) = 0.00
- final energy (eV per atom) = -8.16

Cell: 4.724 4.768 4.724 Å, 90.00 90.00 90.00°
Positions (direct):
Ca1 0.500 0.500 0.500
Tc1 0.000 0.000 0.000
Re1 0.500 0.000 0.000
Os1 0.000 0.500 0.000
Re2 0.000 0.000 0.500

---

13.
DFT (GGA-PBE) results for crystalline Ca2TlReOs at its relaxed geometry.

Calculated values
- ρ (Mg/m³) = 7.2
- E_form (meV/atom) = 1680
- space group = P4/mmm, No. 123
- size of the total moment (Bohr magnetons per cell) = 3.78
- final energy (eV per atom) = -4.33

Cell: 5.403 5.222 5.403 Å, 90.00 90.00 90.00°
Each line ends with the local moment (μB).
Positions (direct):
Re1 0.000 0.000 0.000  1.22
Ca1 0.500 0.000 0.000  0.00
Ca2 0.000 0.000 0.500  -0.03
Os1 0.500 0.500 0.500  2.38
Tl1 0.000 0.500 0.000  -0.01

---

14.
DFT (GGA-PBE) results for crystalline CaOsRh2 at its relaxed geometry.

Calculated values
- ρ (Mg/m³) = 11.1
- E_form (meV/atom) = 323
- space group = I-4m2, No. 119
- size of the total moment (Bohr magnetons per cell) = 0.00
- offset from the most stable computed form (meV/atom) = 274
- final energy (eV per atom) = -6.66

Cell: 5.004 5.004 5.004 Å, 133.29 133.29 68.20°
Positions (direct):
Rh1 0.000 0.000 0.000
Os1 0.750 0.250 0.500
Rh2 0.250 0.750 0.500
Ca1 0.500 0.500 0.000

---

15.
DFT (GGA-PBE) results for crystalline CaOsRh at its relaxed geometry.

Calculated values
- ρ (Mg/m³) = 10.7
- E_form (meV/atom) = 552
- space group = P3m1, No. 156
- size of the total moment (Bohr magnetons per cell) = 0.00
- offset from the most stable computed form (meV/atom) = 414
- final energy (eV per atom) = -6.31

Cell: 2.909 2.909 7.083 Å, 90.00 90.00 120.00°
Positions (direct):
Ca1 0.000 0.000 0.998
Os1 0.667 0.333 0.356
Rh1 0.333 0.667 0.646